# GGA-PBEsol Zr2PdRuC, optimized geometry
data_Zr2PdRuC
_chemical_formula_sum 'Zr2 Pd1 Ru1 C1'
_space_group_name_H-M_alt 'P 4/m m m'
_space_group_IT_number 123
_space_group_name_Hall '-P 4 2'
_cell_length_a 5.0527
_cell_length_b 5.0527
_cell_length_c 3.6492
_cell_angle_alpha 90.00
_cell_angle_beta 90.00
_cell_angle_gamma 90.00
loop_
_atom_site_label
_atom_site_fract_x
_atom_site_fract_y
_atom_site_fract_z
_atom_site_occupancy
Zr1 0.0000 0.5000 0.0000 1
Pd1 0.0000 0.0000 0.0000 1
Ru1 0.5000 0.5000 0.5000 1
C1 0.0000 0.0000 0.5000 1
# Uncorrected energy (eV/atom): -7.800
# ρ (g cm⁻³): 7.164
# Formation energy from the elements (eV/atom): 0.991